Here is a relaxed structure of BeFeHg2 from OQMD via LeMat-Bulk. Energies are from PBE.

abc: 4.540 4.540 4.540
angles: 60.00 60.00 60.00
Site moments in Bohr magnetons follow the coordinates.
Positions (direct):
Hg 0.750 0.750 0.750  0.00
Hg 0.000 0.000 0.000  -0.02
Fe 0.250 0.250 0.250  2.60
Be 0.500 0.500 0.500  -0.08

Total moment ... 2.49 μB/cell
Crystal system ... cubic
Total energy ... -10.00 eV per cell